VASP calculation (PBE-GGA) on an optimized crystal structure of NbFeCo2H.

Cell lengths 3.6359, 3.6359, 3.9129 Å; angles 90.00, 90.00, 90.00 degrees
Space group P4/mmm (No. 123)
One atom of each set of equivalent atoms:
1 Nb 0.0000 0.0000 0.0000 (multiplicity 1)
2 Fe 0.5000 0.5000 0.0000 (multiplicity 1)
3 Co 0.0000 0.5000 0.5000 (multiplicity 2)
4 H 0.0000 0.0000 0.5000 (multiplicity 1)

- V (Å³/atom) = 10.35
- uncorrected energy (eV per formula unit) = -36.4



VASP calculation (PBE-GGA) on an optimized crystal structure of NbFeCo2H.

Cell lengths 3.6520, 3.6520, 3.7455 Å; angles 90.00, 90.00, 90.00 degrees
Space group P4/mmm (No. 123)
One atom of each set of equivalent atoms:
1 Nb 0.0000 0.0000 0.0000 (multiplicity 1)
2 Fe 0.5000 0.5000 0.0000 (multiplicity 1)
3 Co 0.0000 0.5000 0.5000 (multiplicity 2)
4 H 0.5000 0.5000 0.5000 (multiplicity 1)

- V (Å³/atom) = 9.99
- uncorrected energy (eV per formula unit) = -36.7



VASP calculation (PBE-GGA) on an optimized crystal structure of NbFe2CoH.

Cell lengths 3.7027, 3.7027, 3.6717 Å; angles 90.00, 90.00, 90.00 degrees
Space group P4/mmm (No. 123)
One atom of each set of equivalent atoms:
1 Nb 0.0000 0.0000 0.0000 (multiplicity 1)
2 Fe 0.0000 0.5000 0.5000 (multiplicity 2)
3 Co 0.5000 0.5000 0.0000 (multiplicity 1)
4 H 0.5000 0.5000 0.5000 (multiplicity 1)

- V (Å³/atom) = 10.07
- uncorrected energy (eV per formula unit) = -37.8



VASP calculation (PBE-GGA) on an optimized crystal structure of Nd2Fe15Co2H3.

Cell lengths 8.6190, 8.6190, 12.2853 Å; angles 90.00, 90.00, 120.00 degrees
Space group R-3m (No. 166, hexagonal axes)
One atom of each set of equivalent atoms:
1 Nd 0.0000 0.0000 0.1561 (multiplicity 6)
2 Fe 0.0000 0.2831 0.5000 (multiplicity 18)
3 Fe 0.0000 0.5000 0.0000 (multiplicity 9)
4 Fe 0.0064 0.5032 0.3435 (multiplicity 18)
5 Co 0.0000 0.0000 0.4060 (multiplicity 6)
6 H 0.0000 0.5000 0.5000 (multiplicity 9)

- V (Å³/atom) = 11.98
- uncorrected energy (eV per formula unit) = -161.4



VASP calculation (PBE-GGA) on an optimized crystal structure of FeCo2NiH4.

Cell lengths 4.5580, 2.6379, 4.5856 Å; angles 90.00, 109.81, 90.00 degrees
Space group P2/m (No. 10)
One atom of each set of equivalent atoms:
1 Fe 0.0000 0.0000 0.0000 (multiplicity 1)
2 Co 0.5000 0.0000 0.5000 (multiplicity 1)
3 Co 0.5000 0.5000 0.0000 (multiplicity 1)
4 Ni 0.0000 0.5000 0.5000 (multiplicity 1)
5 H 0.2626 0.0000 0.7498 (multiplicity 2)
6 H 0.2678 0.5000 0.2601 (multiplicity 2)

- V (Å³/atom) = 6.48
- uncorrected energy (eV per formula unit) = -41.9



VASP calculation (PBE-GGA) on an optimized crystal structure of FeCo2NiH.

Cell lengths 3.5689, 3.5689, 3.6468 Å; angles 90.00, 90.00, 90.00 degrees
Space group P4/mmm (No. 123)
One atom of each set of equivalent atoms:
1 Fe 0.0000 0.0000 0.0000 (multiplicity 1)
2 Co 0.0000 0.5000 0.5000 (multiplicity 2)
3 Ni 0.5000 0.5000 0.0000 (multiplicity 1)
4 H 0.0000 0.0000 0.5000 (multiplicity 1)

- V (Å³/atom) = 9.29
- uncorrected energy (eV per formula unit) = -31.9



VASP calculation (PBE-GGA) on an optimized crystal structure of FeCoNi2H.

Cell lengths 3.5636, 3.5636, 3.6719 Å; angles 90.00, 90.00, 90.00 degrees
Space group P4/mmm (No. 123)
One atom of each set of equivalent atoms:
1 Fe 0.0000 0.0000 0.0000 (multiplicity 1)
2 Co 0.5000 0.5000 0.0000 (multiplicity 1)
3 Ni 0.0000 0.5000 0.5000 (multiplicity 2)
4 H 0.5000 0.5000 0.5000 (multiplicity 1)

- V (Å³/atom) = 9.33
- uncorrected energy (eV per formula unit) = -30.7



VASP calculation (PBE-GGA) on an optimized crystal structure of Fe2CoNiH5.

Cell lengths 2.6380, 9.9624, 8.7335 Å; angles 90.00, 90.00, 90.00 degrees
Space group Cmc2_1 (No. 36)
One atom of each set of equivalent atoms:
1 Fe 0.0000 0.1182 0.0000 (multiplicity 4)
2 Fe 0.0000 0.1482 0.5564 (multiplicity 4)
3 Co 0.0000 0.2377 0.2779 (multiplicity 4)
4 Ni 0.0000 0.4909 0.7390 (multiplicity 4)
5 H 0.0000 0.0746 0.3442 (multiplicity 4)
6 H 0.0000 0.2811 0.9208 (multiplicity 4)
7 H 0.0000 0.3108 0.6579 (multiplicity 4)
8 H 0.0000 0.3856 0.3635 (multiplicity 4)
9 H 0.0000 0.4798 0.0521 (multiplicity 4)

- V (Å³/atom) = 6.38
- uncorrected energy (eV per formula unit) = -46.1



VASP calculation (PBE-GGA) on an optimized crystal structure of Fe2CoNiH4.

Cell lengths 4.5581, 2.6486, 4.5994 Å; angles 90.00, 109.37, 90.00 degrees
Space group P2/m (No. 10)
One atom of each set of equivalent atoms:
1 Fe 0.0000 0.0000 0.0000 (multiplicity 1)
2 Fe 0.5000 0.5000 0.0000 (multiplicity 1)
3 Co 0.0000 0.5000 0.5000 (multiplicity 1)
4 Ni 0.5000 0.0000 0.5000 (multiplicity 1)
5 H 0.2403 0.0000 0.7395 (multiplicity 2)
6 H 0.2436 0.5000 0.2521 (multiplicity 2)

- V (Å³/atom) = 6.55
- uncorrected energy (eV per formula unit) = -43.4



VASP calculation (PBE-GGA) on an optimized crystal structure of FeCo2NiH5.

Cell lengths 2.6251, 12.3768, 7.0138 Å; angles 90.00, 90.00, 90.00 degrees
Space group Cmc2_1 (No. 36)
One atom of each set of equivalent atoms:
1 Fe 0.0000 0.2495 0.0000 (multiplicity 4)
2 Co 0.0000 0.3902 0.7224 (multiplicity 4)
3 Co 0.0000 0.4102 0.3607 (multiplicity 4)
4 Ni 0.0000 0.0594 0.5392 (multiplicity 4)
5 H 0.0000 0.0017 0.7828 (multiplicity 4)
6 H 0.0000 0.1020 0.0363 (multiplicity 4)
7 H 0.0000 0.1651 0.3718 (multiplicity 4)
8 H 0.0000 0.2628 0.6763 (multiplicity 4)
9 H 0.0000 0.3724 0.1343 (multiplicity 4)

- V (Å³/atom) = 6.33
- uncorrected energy (eV per formula unit) = -44.5



VASP calculation (PBE-GGA) on an optimized crystal structure of FeCo2NiH.

Cell lengths 3.6077, 3.6077, 3.5722 Å; angles 90.00, 90.00, 90.00 degrees
Space group P4/mmm (No. 123)
One atom of each set of equivalent atoms:
1 Fe 0.0000 0.0000 0.0000 (multiplicity 1)
2 Co 0.0000 0.5000 0.5000 (multiplicity 2)
3 Ni 0.5000 0.5000 0.0000 (multiplicity 1)
4 H 0.5000 0.5000 0.5000 (multiplicity 1)

- V (Å³/atom) = 9.30
- uncorrected energy (eV per formula unit) = -31.9



VASP calculation (PBE-GGA) on an optimized crystal structure of FeCoNi2H.

Cell lengths 3.5280, 3.5280, 3.7542 Å; angles 90.00, 90.00, 90.00 degrees
Space group P4/mmm (No. 123)
One atom of each set of equivalent atoms:
1 Fe 0.0000 0.0000 0.0000 (multiplicity 1)
2 Co 0.5000 0.5000 0.0000 (multiplicity 1)
3 Ni 0.0000 0.5000 0.5000 (multiplicity 2)
4 H 0.0000 0.0000 0.5000 (multiplicity 1)

- V (Å³/atom) = 9.35
- uncorrected energy (eV per formula unit) = -30.5